Record 1
The following is a DFT calculation (PBE) of a geometry-optimized YF structure.

Properties
* VASP energy: -6.758 eV per atom
* V: 19.8 Å³/atom
* ΔE_f (raw): -2.5905 eV per atom
* mass density: 4.51 Mg/m³

Lattice parameters (Å, degrees): 3.722 3.722 5.730 90.00 90.00 90.00
Atoms (fractional coordinates):
1 Y 0.250 0.250 0.233
2 Y 0.750 0.750 0.767
3 F 0.250 0.750 0.500
4 F 0.750 0.250 0.500



Record 2
The following is a DFT calculation (PBE) of a geometry-optimized Y3Ga8Rh3 structure.

Properties
* VASP energy: -5.408 eV per atom
* V: 18.3 Å³/atom
* energy relative to the elements: -0.718 eV/atom
* mass density: 7.36 Mg/m³

Lattice parameters (Å, degrees): 8.177 8.177 8.177 150.18 106.38 81.40
Atoms (fractional coordinates):
1 Y 0.000 0.000 0.000
2 Y 0.328 0.328 0.000
3 Y 0.672 0.672 0.000
4 Ga 0.040 0.671 0.369
5 Ga 0.162 0.878 0.284
6 Ga 0.302 0.671 0.631
7 Ga 0.406 0.122 0.284
8 Ga 0.594 0.878 0.716
9 Ga 0.698 0.329 0.369
10 Ga 0.838 0.122 0.716
11 Ga 0.960 0.329 0.631
12 Rh 0.276 0.500 0.776
13 Rh 0.500 0.000 0.500
14 Rh 0.724 0.500 0.224



Record 3
The following is a DFT calculation (PBE) of a geometry-optimized TbGaCu3 structure.

Properties
* VASP energy: -4.211 eV per atom
* V: 16.5 Å³/atom
* energy relative to the elements: -0.222 eV/atom
* mass density: 8.43 Mg/m³

Lattice parameters (Å, degrees): 6.360 6.360 6.360 133.37 112.79 85.75
Atoms (fractional coordinates):
1 Tb 0.257 0.007 0.250
2 Tb 0.743 0.993 0.750
3 Ga 0.000 0.500 0.500
4 Ga 0.500 0.500 0.000
5 Cu 0.190 0.000 0.690
6 Cu 0.190 0.500 0.190
7 Cu 0.437 0.687 0.750
8 Cu 0.563 0.313 0.250
9 Cu 0.810 0.000 0.310
10 Cu 0.810 0.500 0.810



Record 4
The following is a DFT calculation (PBE) of a geometry-optimized SmVS structure.

Properties
* VASP energy: -6.425 eV per atom
* V: 23.2 Å³/atom
* ΔE_f (raw): -0.4370 eV per atom
* mass density: 5.57 Mg/m³

Lattice parameters (Å, degrees): 9.502 9.502 9.502 156.25 156.25 33.84
Atoms (fractional coordinates):
1 Sm 0.163 0.163 0.000
2 Sm 0.837 0.837 0.000
3 V 0.450 0.450 0.000
4 V 0.550 0.550 0.000
5 S 0.317 0.317 0.000
6 S 0.683 0.683 0.000



> The lowest VASP energy belongs to which entry?

YF